# 1
Here is a geometry-optimized La2PrTeO8 structure from Alexandria via LeMat-Bulk. Energies are from PBE.

## Properties
M_tot   1.0 μB/f.u.
E   -7.202 eV/atom
Formation energy (no corrections)   -2.42 eV/atom

Geometry as CIF:
```
data_La2PrTeO8
_cell_length_a 4.407
_cell_length_b 7.330
_cell_length_c 5.559
_cell_angle_alpha 90.00
_cell_angle_beta 93.79
_cell_angle_gamma 90.00
_symmetry_space_group_name_H-M 'P 1'
_symmetry_Int_Tables_number 1
_symmetry_space_group_name_Hall 'P 1'
loop_
_atom_site_label
_atom_site_type_symbol
_atom_site_fract_x
_atom_site_fract_y
_atom_site_fract_z
_atom_site_occupancy
La1 La 0.000 0.248 0.000 1
La2 La 0.000 0.752 0.000 1
Pr1 Pr 0.500 0.500 0.500 1
Te1 Te 0.500 0.000 0.500 1
O1 O 0.041 0.500 0.247 1
O2 O 0.099 0.000 0.330 1
O3 O 0.433 0.201 0.730 1
O4 O 0.433 0.799 0.730 1
O5 O 0.567 0.201 0.270 1
O6 O 0.567 0.799 0.270 1
O7 O 0.901 0.000 0.670 1
O8 O 0.959 0.500 0.753 1
```


# 2
Here is a geometry-optimized Ag2BiPbS4 structure from Alexandria via LeMat-Bulk. Energies are from PBE.

## Properties
M_tot   0.0 μB/f.u.
E   -3.936 eV/atom
Formation energy (no corrections)   -0.21 eV/atom

Geometry as CIF:
```
data_Ag2BiPbS4
_cell_length_a 7.953
_cell_length_b 7.953
_cell_length_c 7.953
_cell_angle_alpha 119.83
_cell_angle_beta 119.79
_cell_angle_gamma 90.33
_symmetry_space_group_name_H-M 'P 1'
_symmetry_Int_Tables_number 1
_symmetry_space_group_name_Hall 'P 1'
loop_
_atom_site_label
_atom_site_type_symbol
_atom_site_fract_x
_atom_site_fract_y
_atom_site_fract_z
_atom_site_occupancy
Ag1 Ag 0.000 0.000 0.000 1
Ag2 Ag 0.500 0.000 0.000 1
Ag3 Ag 0.500 0.000 0.500 1
Ag4 Ag 0.500 0.500 0.500 1
Bi1 Bi 0.000 0.500 0.500 1
Bi2 Bi 0.500 0.500 0.000 1
Pb1 Pb 0.000 0.000 0.500 1
Pb2 Pb 0.000 0.500 0.000 1
S1 S 0.257 0.253 0.496 1
S2 S 0.257 0.762 0.004 1
S3 S 0.259 0.246 0.012 1
S4 S 0.266 0.754 0.512 1
S5 S 0.734 0.246 0.488 1
S6 S 0.741 0.754 0.988 1
S7 S 0.743 0.238 0.996 1
S8 S 0.743 0.747 0.504 1
```


# 3
Here is a geometry-optimized BaMnCo2 structure from Alexandria via LeMat-Bulk. Energies are from PBE.

## Properties
Distance to the lowest polymorph of the same formula   732 meV/atom
M_tot   6.0 μB/f.u.
Formation energy   1.040 eV per atom
E   -5.286 eV/atom

Geometry as CIF:
```
data_BaMnCo2
_cell_length_a 4.684
_cell_length_b 4.684
_cell_length_c 4.684
_cell_angle_alpha 119.84
_cell_angle_beta 119.84
_cell_angle_gamma 90.28
_symmetry_space_group_name_H-M 'P 1'
_symmetry_Int_Tables_number 1
_symmetry_space_group_name_Hall 'P 1'
loop_
_atom_site_label
_atom_site_type_symbol
_atom_site_fract_x
_atom_site_fract_y
_atom_site_fract_z
_atom_site_occupancy
Ba1 Ba 0.000 0.000 0.000 1
Mn1 Mn 0.250 0.750 0.500 1
Co1 Co 0.500 0.500 0.000 1
Co2 Co 0.750 0.250 0.500 1
```


# 4
Here is a geometry-optimized TaTe2AsI structure from Alexandria via LeMat-Bulk. Energies are from PBE.

## Properties
Distance to the lowest polymorph of the same formula   631 meV/atom
M_tot   2.2 μB/f.u.
E   -3.667 eV/atom
Formation energy (no corrections)   1.20 eV/atom

Geometry as CIF:
```
data_TaTe2AsI
_cell_length_a 5.413
_cell_length_b 5.413
_cell_length_c 5.307
_cell_angle_alpha 90.00
_cell_angle_beta 90.00
_cell_angle_gamma 90.00
_symmetry_space_group_name_H-M 'P 1'
_symmetry_Int_Tables_number 1
_symmetry_space_group_name_Hall 'P 1'
loop_
_atom_site_label
_atom_site_type_symbol
_atom_site_fract_x
_atom_site_fract_y
_atom_site_fract_z
_atom_site_occupancy
Ta1 Ta 0.000 0.000 0.000 1
Te1 Te 0.000 0.500 0.500 1
Te2 Te 0.500 0.000 0.500 1
As1 As 0.500 0.500 0.500 1
I1 I 0.500 0.500 0.000 1
```


# 5
Here is a geometry-optimized Y5Cu structure from Alexandria via LeMat-Bulk. Energies are from PBE.

## Properties
Distance to the lowest polymorph of the same formula   0 meV/atom
M_tot   0.0 μB/f.u.
Formation energy   -0.053 eV per atom
E   -6.122 eV/atom

Geometry as CIF:
```
data_Y5Cu
_cell_length_a 3.525
_cell_length_b 3.525
_cell_length_c 13.896
_cell_angle_alpha 90.00
_cell_angle_beta 90.00
_cell_angle_gamma 90.00
_symmetry_space_group_name_H-M 'P 1'
_symmetry_Int_Tables_number 1
_symmetry_space_group_name_Hall 'P 1'
loop_
_atom_site_label
_atom_site_type_symbol
_atom_site_fract_x
_atom_site_fract_y
_atom_site_fract_z
_atom_site_occupancy
Y1 Y 0.000 0.000 0.000 1
Y2 Y 0.000 0.000 0.377 1
Y3 Y 0.000 0.000 0.623 1
Y4 Y 0.500 0.500 0.184 1
Y5 Y 0.500 0.500 0.816 1
Cu1 Cu 0.500 0.500 0.500 1
```


# 6
Here is a geometry-optimized BaCdInAg2 structure from Alexandria via LeMat-Bulk. Energies are from PBE.

## Properties
M_tot   0.0 μB/f.u.
Formation energy   -0.238 eV per atom
E   -2.493 eV/atom

Geometry as CIF:
```
data_BaCdInAg2
_cell_length_a 7.065
_cell_length_b 7.065
_cell_length_c 7.065
_cell_angle_alpha 141.31
_cell_angle_beta 140.90
_cell_angle_gamma 56.18
_symmetry_space_group_name_H-M 'P 1'
_symmetry_Int_Tables_number 1
_symmetry_space_group_name_Hall 'P 1'
loop_
_atom_site_label
_atom_site_type_symbol
_atom_site_fract_x
_atom_site_fract_y
_atom_site_fract_z
_atom_site_occupancy
Ba1 Ba 0.000 0.000 0.000 1
Cd1 Cd 0.618 0.618 0.000 1
In1 In 0.260 0.760 0.500 1
Ag1 Ag 0.390 0.390 0.000 1
Ag2 Ag 0.755 0.255 0.500 1
```


# 7
Here is a geometry-optimized IrRu2W structure from Alexandria via LeMat-Bulk. Energies are from PBE.

## Properties
Distance to the lowest polymorph of the same formula   137 meV/atom
M_tot   0.0 μB/f.u.
Formation energy   -0.041 eV per atom
E   -10.133 eV/atom

Geometry as CIF:
```
data_IrRu2W
_cell_length_a 4.744
_cell_length_b 4.744
_cell_length_c 4.767
_cell_angle_alpha 100.01
_cell_angle_beta 100.01
_cell_angle_gamma 33.67
_symmetry_space_group_name_H-M 'P 1'
_symmetry_Int_Tables_number 1
_symmetry_space_group_name_Hall 'P 1'
loop_
_atom_site_label
_atom_site_type_symbol
_atom_site_fract_x
_atom_site_fract_y
_atom_site_fract_z
_atom_site_occupancy
Ir1 Ir 0.000 0.000 0.000 1
Ru1 Ru 0.250 0.250 0.751 1
Ru2 Ru 0.750 0.750 0.249 1
W1 W 0.500 0.500 0.500 1
```


# 8
Here is a geometry-optimized Ba3IrO5 structure from Alexandria via LeMat-Bulk. Energies are from PBE.

## Properties
M_tot   1.1 μB/f.u.
E   -6.238 eV/atom
Formation energy (no corrections)   -1.86 eV/atom

Geometry as CIF:
```
data_Ba3IrO5
_cell_length_a 8.255
_cell_length_b 8.255
_cell_length_c 8.255
_cell_angle_alpha 127.82
_cell_angle_beta 127.82
_cell_angle_gamma 76.92
_symmetry_space_group_name_H-M 'P 1'
_symmetry_Int_Tables_number 1
_symmetry_space_group_name_Hall 'P 1'
loop_
_atom_site_label
_atom_site_type_symbol
_atom_site_fract_x
_atom_site_fract_y
_atom_site_fract_z
_atom_site_occupancy
Ba1 Ba 0.181 0.681 0.861 1
Ba2 Ba 0.250 0.250 0.000 1
Ba3 Ba 0.319 0.181 0.500 1
Ba4 Ba 0.681 0.819 0.500 1
Ba5 Ba 0.750 0.750 0.000 1
Ba6 Ba 0.819 0.319 0.139 1
Ir1 Ir 0.250 0.750 0.500 1
Ir2 Ir 0.750 0.250 0.500 1
O1 O 0.000 0.000 0.000 1
O2 O 0.013 0.768 0.500 1
O3 O 0.232 0.732 0.245 1
O4 O 0.268 0.513 0.500 1
O5 O 0.487 0.987 0.755 1
O6 O 0.500 0.500 0.000 1
O7 O 0.513 0.013 0.245 1
O8 O 0.732 0.487 0.500 1
O9 O 0.768 0.268 0.755 1
O10 O 0.987 0.232 0.500 1
```


# 9
Here is a geometry-optimized Nd3Ga12Pb5 structure from Alexandria via LeMat-Bulk. Energies are from PBE.

## Properties
M_tot   0.0 μB/f.u.
Formation energy   0.192 eV per atom
E   -3.266 eV/atom

Geometry as CIF:
```
data_Nd3Ga12Pb5
_cell_length_a 14.763
_cell_length_b 14.763
_cell_length_c 14.763
_cell_angle_alpha 109.47
_cell_angle_beta 109.47
_cell_angle_gamma 109.47
_symmetry_space_group_name_H-M 'P 1'
_symmetry_Int_Tables_number 1
_symmetry_space_group_name_Hall 'P 1'
loop_
_atom_site_label
_atom_site_type_symbol
_atom_site_fract_x
_atom_site_fract_y
_atom_site_fract_z
_atom_site_occupancy
Nd1 Nd 0.125 0.250 0.375 1
Nd2 Nd 0.125 0.375 0.750 1
Nd3 Nd 0.250 0.375 0.125 1
Nd4 Nd 0.250 0.875 0.625 1
Nd5 Nd 0.375 0.125 0.250 1
Nd6 Nd 0.375 0.750 0.125 1
Nd7 Nd 0.625 0.250 0.875 1
Nd8 Nd 0.625 0.875 0.750 1
Nd9 Nd 0.750 0.125 0.375 1
Nd10 Nd 0.750 0.625 0.875 1
Nd11 Nd 0.875 0.625 0.250 1
Nd12 Nd 0.875 0.750 0.625 1
Ga1 Ga 0.072 0.226 0.147 1
Ga2 Ga 0.072 0.346 0.925 1
Ga3 Ga 0.075 0.647 0.421 1
Ga4 Ga 0.075 0.928 0.654 1
Ga5 Ga 0.079 0.726 0.654 1
Ga6 Ga 0.079 0.853 0.425 1
Ga7 Ga 0.147 0.072 0.226 1
Ga8 Ga 0.147 0.575 0.921 1
Ga9 Ga 0.154 0.226 0.579 1
Ga10 Ga 0.154 0.428 0.575 1
Ga11 Ga 0.226 0.147 0.072 1
Ga12 Ga 0.226 0.579 0.154 1
Ga13 Ga 0.274 0.346 0.921 1
Ga14 Ga 0.274 0.428 0.353 1
Ga15 Ga 0.346 0.921 0.274 1
Ga16 Ga 0.346 0.925 0.072 1
Ga17 Ga 0.353 0.274 0.428 1
Ga18 Ga 0.353 0.579 0.925 1
Ga19 Ga 0.421 0.075 0.647 1
Ga20 Ga 0.421 0.846 0.774 1
Ga21 Ga 0.425 0.079 0.853 1
Ga22 Ga 0.425 0.846 0.572 1
Ga23 Ga 0.428 0.353 0.274 1
Ga24 Ga 0.428 0.575 0.154 1
Ga25 Ga 0.572 0.425 0.846 1
Ga26 Ga 0.572 0.647 0.726 1
Ga27 Ga 0.575 0.154 0.428 1
Ga28 Ga 0.575 0.921 0.147 1
Ga29 Ga 0.579 0.154 0.226 1
Ga30 Ga 0.579 0.925 0.353 1
Ga31 Ga 0.647 0.421 0.075 1
Ga32 Ga 0.647 0.726 0.572 1
Ga33 Ga 0.654 0.075 0.928 1
Ga34 Ga 0.654 0.079 0.726 1
Ga35 Ga 0.726 0.572 0.647 1
Ga36 Ga 0.726 0.654 0.079 1
Ga37 Ga 0.774 0.421 0.846 1
Ga38 Ga 0.774 0.853 0.928 1
Ga39 Ga 0.846 0.572 0.425 1
Ga40 Ga 0.846 0.774 0.421 1
Ga41 Ga 0.853 0.425 0.079 1
Ga42 Ga 0.853 0.928 0.774 1
Ga43 Ga 0.921 0.147 0.575 1
Ga44 Ga 0.921 0.274 0.346 1
Ga45 Ga 0.925 0.072 0.346 1
Ga46 Ga 0.925 0.353 0.579 1
Ga47 Ga 0.928 0.654 0.075 1
Ga48 Ga 0.928 0.774 0.853 1
Pb1 Pb 0.000 0.000 0.000 1
Pb2 Pb 0.000 0.000 0.500 1
Pb3 Pb 0.000 0.500 0.000 1
Pb4 Pb 0.000 0.500 0.500 1
Pb5 Pb 0.125 0.750 0.875 1
Pb6 Pb 0.125 0.875 0.250 1
Pb7 Pb 0.250 0.125 0.875 1
Pb8 Pb 0.250 0.625 0.375 1
Pb9 Pb 0.375 0.250 0.625 1
Pb10 Pb 0.375 0.625 0.750 1
Pb11 Pb 0.500 0.000 0.000 1
Pb12 Pb 0.500 0.000 0.500 1
Pb13 Pb 0.500 0.500 0.000 1
Pb14 Pb 0.500 0.500 0.500 1
Pb15 Pb 0.625 0.375 0.250 1
Pb16 Pb 0.625 0.750 0.375 1
Pb17 Pb 0.750 0.375 0.625 1
Pb18 Pb 0.750 0.875 0.125 1
Pb19 Pb 0.875 0.125 0.750 1
Pb20 Pb 0.875 0.250 0.125 1
```


# 10
Here is a geometry-optimized Ca3Ac12Nd structure from Alexandria via LeMat-Bulk. Energies are from PBE.

## Properties
M_tot   0.0 μB/f.u.
Formation energy   0.022 eV per atom
E   -3.732 eV/atom

Geometry as CIF:
```
data_Ca3Ac12Nd
_cell_length_a 5.588
_cell_length_b 5.588
_cell_length_c 22.320
_cell_angle_alpha 90.00
_cell_angle_beta 90.00
_cell_angle_gamma 90.00
_symmetry_space_group_name_H-M 'P 1'
_symmetry_Int_Tables_number 1
_symmetry_space_group_name_Hall 'P 1'
loop_
_atom_site_label
_atom_site_type_symbol
_atom_site_fract_x
_atom_site_fract_y
_atom_site_fract_z
_atom_site_occupancy
Ca1 Ca 0.000 0.000 0.000 1
Ca2 Ca 0.000 0.000 0.251 1
Ca3 Ca 0.000 0.000 0.749 1
Ac1 Ac 0.000 0.500 0.126 1
Ac2 Ac 0.000 0.500 0.378 1
Ac3 Ac 0.000 0.500 0.622 1
Ac4 Ac 0.000 0.500 0.874 1
Ac5 Ac 0.500 0.000 0.126 1
Ac6 Ac 0.500 0.000 0.378 1
Ac7 Ac 0.500 0.000 0.622 1
Ac8 Ac 0.500 0.000 0.874 1
Ac9 Ac 0.500 0.500 0.000 1
Ac10 Ac 0.500 0.500 0.251 1
Ac11 Ac 0.500 0.500 0.500 1
Ac12 Ac 0.500 0.500 0.749 1
Nd1 Nd 0.000 0.000 0.500 1
```